Record 1
The following is a DFT calculation (GGA-PBE) of a relaxed BaFeGe2Au crystal. Values from VASP.

Properties
SG   P4/mmm (123)
Formation energy   -250.0 meV/atom
VASP energy   -24.15 eV per cell

Geometry as Quantum ESPRESSO input:
```
&SYSTEM
  ibrav = 0, nat = 5, ntyp = 4
/
ATOMIC_SPECIES
Ba 137.33 Ba.upf
Ge 72.64 Ge.upf
Fe 55.84 Fe.upf
Au 196.97 Au.upf
CELL_PARAMETERS angstrom
-3.5062 -2.9156 0.6186
1.3417 -0.6912 4.3472
-3.0772 4.0383 1.5918
ATOMIC_POSITIONS angstrom
Ba -2.6208 0.2158 3.2788
Ge -1.7531 -1.4578 0.3093
Ge 0.6709 -0.3456 2.1736
Fe 0.0000 0.0000 0.0000
Au -1.5386 2.0191 0.7959
```


Record 2
The following is a DFT calculation (GGA-PBE) of a relaxed Dy2ErTe4 crystal. Values from VASP.

Properties
SG   C2/m (12)
Formation energy from raw total energies   -1370.9 meV per atom
Relative energy among the computed polymorphs   0.0 meV/atom
VASP energy   -35.93 eV per cell

Geometry as Quantum ESPRESSO input:
```
&SYSTEM
  ibrav = 0, nat = 7, ntyp = 3
/
ATOMIC_SPECIES
Er 167.26 Er.upf
Te 127.60 Te.upf
Dy 162.50 Dy.upf
CELL_PARAMETERS angstrom
4.1761 0.0000 -1.1421
-0.6996 7.0742 -2.5582
0.0371 -1.0575 8.3419
ATOMIC_POSITIONS angstrom
Er 0.0000 0.0000 0.0000
Te 2.4273 1.7823 0.6693
Te 3.5592 0.6953 4.8081
Te 1.0863 4.2344 3.9723
Te -0.0456 5.3214 -0.1666
Dy 2.5938 4.8481 1.2781
Dy 0.9198 1.1686 3.3635
```


Record 3
The following is a DFT calculation (GGA-PBE) of a relaxed ZrNbVCl2 crystal. Values from VASP.

Properties
SG   P4/mmm (123)
Formation energy from raw total energies   692.1 meV per atom
VASP energy   -27.97 eV per cell

Geometry as Quantum ESPRESSO input:
```
&SYSTEM
  ibrav = 0, nat = 5, ntyp = 4
/
ATOMIC_SPECIES
Cl 35.45 Cl.upf
V 50.94 V.upf
Nb 92.91 Nb.upf
Zr 91.22 Zr.upf
CELL_PARAMETERS angstrom
-3.2940 2.3101 -2.4353
-3.2811 -3.8864 0.7514
-1.5033 2.0355 3.9642
ATOMIC_POSITIONS angstrom
Cl -0.7516 1.0178 1.9821
Cl -1.6470 1.1551 -1.2177
V -1.6406 -1.9432 0.3757
Nb 0.0000 0.0000 0.0000
Zr -4.0392 0.2296 1.1401
```


no.,magnetic moment (μB per formula unit),density of states at the Fermi level (states/eV/atom),calculated volume (Å³/cell)
1,0.75,0.367,113
2,0.00,0.474,235
3,1.07,1.524,114